This record from Alexandria via LeMat-Bulk describes crystalline La2TaMo at its relaxed geometry. The functional is PBE.

* E: -7.31 eV per atom
* formation enthalpy at 0 K: 824 meV per atom
* energy relative to the lowest polymorph listed for this composition: 591.1 meV/atom

```
La2TaMo
1.0
0.0000 3.6586 3.6586
3.6586 0.0000 3.6586
3.6586 3.6586 0.0000
Mo La Ta
1 2 1
direct
0.0000 0.0000 0.0000 Mo
0.2500 0.2500 0.2500 La
0.7500 0.7500 0.7500 La
0.5000 0.5000 0.5000 Ta
```

***

This record from Alexandria via LeMat-Bulk describes crystalline LiThTl2 at its relaxed geometry. The functional is PBE.

* E: -3.62 eV per atom
* formation enthalpy at 0 K: -104 meV per atom

```
LiThTl2
1.0
3.4259 0.0007 0.0007
1.7136 2.9666 0.0007
1.7143 0.9897 10.4637
Li Th Tl
1 1 2
direct
0.6661 0.6661 0.0019 Li
0.5000 0.5000 0.4987 Th
0.0737 0.0737 0.7783 Tl
0.2602 0.2602 0.2211 Tl
```

***

This record from Alexandria via LeMat-Bulk describes crystalline Ti4TcAu at its relaxed geometry. The functional is PBE.

* E: -7.49 eV per atom
* formation enthalpy at 0 K: 50 meV per atom
* energy relative to the lowest polymorph listed for this composition: 379.8 meV/atom

```
Ti4TcAu
1.0
4.3975 0.0000 0.0000
2.1988 3.8095 0.2269
2.1988 0.8683 6.9538
Ti Tc Au
4 1 1
direct
0.6313 0.6314 0.1061 Ti
0.3687 0.3686 0.8939 Ti
0.1190 0.1182 0.6438 Ti
0.8810 0.8818 0.3562 Ti
0.0000 0.0000 0.0000 Tc
0.5000 0.5000 0.5000 Au
```

***

This record from Alexandria via LeMat-Bulk describes crystalline RbTeSe at its relaxed geometry. The functional is PBE.

* E: -3.15 eV per atom
* energy relative to the lowest polymorph listed for this composition: 34.8 meV/atom

```
RbTeSe
1.0
-5.2889 -0.1580 -3.5198
3.4384 1.6011 -2.3911
2.1371 -8.9244 1.2870
Rb Te Se
2 2 2
direct
0.1246 0.0586 0.2019 Rb
0.6971 0.1098 0.7366 Rb
0.4109 0.5842 0.9692 Te
0.9109 0.5842 0.4692 Te
0.6049 0.8507 0.3070 Se
0.2168 0.3176 0.6314 Se
```

***

This record from Alexandria via LeMat-Bulk describes crystalline LiMg3 at its relaxed geometry. The functional is PBE.

* E: -1.64 eV per atom
* formation enthalpy at 0 K: 33 meV per atom

```
LiMg3
1.0
5.6239 0.0000 0.0000
0.0000 5.6239 0.0000
0.0000 0.0000 5.6239
Li Mg
2 6
direct
0.0000 0.0000 0.0000 Li
0.5000 0.5000 0.5000 Li
0.0000 0.2500 0.5000 Mg
0.0000 0.7500 0.5000 Mg
0.2500 0.5000 0.0000 Mg
0.5000 0.0000 0.2500 Mg
0.5000 0.0000 0.7500 Mg
0.7500 0.5000 0.0000 Mg
```

***

This record from Alexandria via LeMat-Bulk describes crystalline Cd2CuHg2 at its relaxed geometry. The functional is PBE.

* E: -1.11 eV per atom
* formation enthalpy at 0 K: 199 meV per atom
* energy relative to the lowest polymorph listed for this composition: 15.3 meV/atom

```
Cd2CuHg2
1.0
7.1170 0.0000 0.0000
0.0000 7.1170 0.0000
0.0000 0.0000 4.5895
Hg Cu Cd
4 2 4
direct
0.1634 0.6634 0.5000 Hg
0.6634 0.8366 0.5000 Hg
0.8366 0.3366 0.5000 Hg
0.3366 0.1634 0.5000 Hg
0.0000 0.0000 0.0000 Cu
0.5000 0.5000 0.0000 Cu
0.3479 0.8479 0.0000 Cd
0.8479 0.6521 0.0000 Cd
0.6521 0.1521 0.0000 Cd
0.1521 0.3479 0.0000 Cd
```

***

This record from Alexandria via LeMat-Bulk describes crystalline ErTmSnHg at its relaxed geometry. The functional is PBE.

* E: -3.86 eV per atom
* formation enthalpy at 0 K: -522 meV per atom
* energy relative to the lowest polymorph listed for this composition: 4.6 meV/atom

```
ErTmSnHg
1.0
5.2360 0.0000 0.0000
2.6180 4.5345 0.0000
2.6180 1.5115 4.2752
Tm Hg Sn Er
1 1 1 1
direct
0.5000 0.5000 0.5000 Tm
0.7500 0.7500 0.7500 Hg
0.2500 0.2500 0.2500 Sn
0.0000 0.0000 0.0000 Er
```

***

This record from Alexandria via LeMat-Bulk describes crystalline LaDy6Tm2 at its relaxed geometry. The functional is PBE.

* E: -4.48 eV per atom
* formation enthalpy at 0 K: 125 meV per atom
* energy relative to the lowest polymorph listed for this composition: 68.0 meV/atom

```
LaDy6Tm2
1.0
8.8347 4.5371 -0.5001
-8.8347 4.5371 -0.5001
0.0000 -0.1808 3.6057
La Dy Tm
1 6 2
direct
0.0000 0.0000 0.0000 La
0.8344 0.5014 0.8368 Dy
0.1656 0.4986 0.1632 Dy
0.3399 0.3399 0.6693 Dy
0.5014 0.8344 0.8368 Dy
0.4986 0.1656 0.1632 Dy
0.6601 0.6601 0.3307 Dy
0.8281 0.1719 0.5000 Tm
0.1719 0.8281 0.5000 Tm
```

***

This record from Alexandria via LeMat-Bulk describes crystalline RbCa3Sc at its relaxed geometry. The functional is PBE.

* E: -2.11 eV per atom
* formation enthalpy at 0 K: 547 meV per atom
* energy relative to the lowest polymorph listed for this composition: 0.0 meV/atom

```
RbCa3Sc
1.0
6.3269 0.0000 0.0000
0.0000 6.3269 0.0000
0.0000 0.0000 6.3269
Sc Ca Rb
1 3 1
direct
0.0000 0.0000 0.0000 Sc
0.0000 0.5000 0.0000 Ca
0.0000 0.0000 0.5000 Ca
0.5000 0.0000 0.0000 Ca
0.5000 0.5000 0.5000 Rb
```

***

This record from Alexandria via LeMat-Bulk describes crystalline NdDy7Tm2 at its relaxed geometry. The functional is PBE.

* E: -4.57 eV per atom
* formation enthalpy at 0 K: 19 meV per atom
* energy relative to the lowest polymorph listed for this composition: 0.0 meV/atom

```
NdDy7Tm2
1.0
-2.4096 5.6318 -0.3492
5.2887 -7.0109 -5.9782
-7.7280 -1.1586 -1.2857
Nd Dy Tm
1 7 2
direct
0.0000 0.0000 0.0000 Nd
0.8989 0.6992 0.5991 Dy
0.1011 0.3008 0.4009 Dy
0.1974 0.5987 0.7981 Dy
0.8026 0.4013 0.2019 Dy
0.3002 0.9003 0.2015 Dy
0.6998 0.0997 0.7985 Dy
0.5000 0.5000 0.0000 Dy
0.5999 0.7997 0.4008 Tm
0.4001 0.2003 0.5992 Tm
```

***

This record from Alexandria via LeMat-Bulk describes crystalline Dy2MgHg6 at its relaxed geometry. The functional is PBE.

* E: -1.72 eV per atom
* formation enthalpy at 0 K: -323 meV per atom
* energy relative to the lowest polymorph listed for this composition: 0.0 meV/atom

```
Dy2MgHg6
1.0
-4.6293 1.8794 0.0973
-1.6893 -4.5663 7.8291
3.0349 7.2234 4.8678
Dy Mg Hg
4 2 12
direct
0.0000 0.3005 0.8000 Dy
0.5000 0.8005 0.7000 Dy
0.5000 0.1995 0.3000 Dy
0.0000 0.6995 0.2000 Dy
0.5000 0.5000 0.0000 Mg
0.0000 0.0000 0.5000 Mg
0.0000 0.0357 0.1666 Hg
0.0000 0.6666 0.5363 Hg
0.0000 0.6347 0.8659 Hg
0.5000 0.1347 0.6341 Hg
0.5000 0.1666 0.9637 Hg
0.5000 0.5357 0.3334 Hg
0.0000 0.9643 0.8334 Hg
0.0000 0.3334 0.4637 Hg
0.0000 0.3653 0.1341 Hg
0.5000 0.8653 0.3659 Hg
0.5000 0.8334 0.0363 Hg
0.5000 0.4643 0.6666 Hg
```

***

This record from Alexandria via LeMat-Bulk describes crystalline HoTmGaNi at its relaxed geometry. The functional is PBE.

* E: -4.98 eV per atom
* formation enthalpy at 0 K: -517 meV per atom
* energy relative to the lowest polymorph listed for this composition: 0.0 meV/atom

```
HoTmGaNi
1.0
3.6737 0.0000 0.0000
0.0000 4.3212 0.0000
-1.8369 0.0000 5.3786
Ho Tm Ga Ni
1 1 1 1
direct
0.1438 0.0000 0.2877 Ho
0.8605 0.5000 0.7211 Tm
0.4283 0.0000 0.8566 Ga
0.5673 0.5000 0.1346 Ni
```